1.
VASP calculation (PBE) on an optimized crystal structure of Fe2Se3.

a b c (Å): 6.1864 6.1864 10.3191
angles (deg): 90.00 90.00 120.00
Space group P-31c (No. 163)
One atom of each set of equivalent atoms:
Fe  0.0000  0.0000  0.0000 x2
Fe  0.3333  0.6667  0.0043 x4
Fe  0.3333  0.6667  0.2500 x2
Se  0.0083  0.3312  0.8774 x12

Results
Calculated total energy in eV per cell: -112.7
Size of the total moment in μB/cell: 10.97



2.
VASP calculation (PBE) on an optimized crystal structure of SmTlFeSe3.

a b c (Å): 15.165 4.121 11.198
angles (deg): 90.00 90.00 90.00
Space group Pnma (No. 62)
One atom of each set of equivalent atoms:
Sm  0.018  0.250  0.160 x4
Tl  0.236  0.250  0.466 x4
Fe  0.009  0.750  0.419 x4
Se  0.085  0.750  0.613 x4
Se  0.101  0.250  0.928 x4
Se  0.127  0.750  0.272 x4

Results
Energy above the most stable polymorph in this dataset in eV/f.u.: 0.000
Size of the total moment in μB/cell: 15.95



3.
VASP calculation (PBE) on an optimized crystal structure of SmTlFeSe3.

a b c (Å): 8.515 4.109 10.631
angles (deg): 90.00 108.97 90.00
Space group P2_1/m (No. 11)
One atom of each set of equivalent atoms:
Sm  0.188  0.250  0.144 x2
Tl  0.233  0.750  0.704 x2
Fe  0.432  0.750  0.415 x2
Se  0.055  0.250  0.857 x2
Se  0.274  0.250  0.444 x2
Se  0.445  0.750  0.188 x2

Results
Energy above the most stable polymorph in this dataset in eV/f.u.: 0.024
Size of the total moment in μB/cell: 7.88